! PBE with a Hubbard U ZrCr2AsO8, relaxed; values from VASP
! Spin magnetization   5.0 μB per cell
! Raw total energy   -7.556 eV per atom
! N(E_F)   3.582 states/eV/cell
! Space-group type   No. 65
&SYSTEM
  ibrav = 0, nat = 12, ntyp = 4
/
ATOMIC_SPECIES
Zr 91.22 Zr.upf
Cr 52.00 Cr.upf
As 74.92 As.upf
O 16.00 O.upf
CELL_PARAMETERS angstrom
3.2422 -3.2611 0.0000
3.2422 3.2611 0.0000
0.0000 0.0000 6.1853
ATOMIC_POSITIONS crystal
Zr 0.0000 0.0000 0.0000
Cr 0.5000 0.5000 0.2573
Cr 0.5000 0.5000 0.7427
As 0.0000 0.0000 0.5000
O 0.1914 0.1914 0.2771
O 0.1914 0.1914 0.7229
O 0.2937 0.7063 0.5000
O 0.3170 0.6830 0.0000
O 0.6830 0.3170 0.0000
O 0.7063 0.2937 0.5000
O 0.8086 0.8086 0.2771
O 0.8086 0.8086 0.7229